Ce7H2Pb3: relaxed, GGA-PBE.

Properties
Its crystal system is orthorhombic. For the theoretical density, the calculation gives 9082 kg/m³.

Unit cell a=13.0841 b=13.0841 c=4.6499 alpha=90.00 beta=90.00 gamma=158.38
Element x y z (fractional)
1 Ce 0.0000 0.0000 0.0000
2 Ce 0.0944 0.9056 0.5000
3 Ce 0.2057 0.7943 0.0000
4 Ce 0.4002 0.5998 0.0000
5 Ce 0.5998 0.4002 0.0000
6 Ce 0.7943 0.2057 0.0000
7 Ce 0.9056 0.0944 0.5000
8 H 0.1100 0.8900 0.0000
9 H 0.8900 0.1100 0.0000
10 Pb 0.3085 0.6915 0.5000
11 Pb 0.5000 0.5000 0.5000
12 Pb 0.6915 0.3085 0.5000



Ce6HPb2: relaxed, GGA-PBE.

Properties
Its crystal system is orthorhombic. For the theoretical density, the calculation gives 9213 kg/m³.

Unit cell a=6.9001 b=6.9001 c=6.9001 alpha=121.68 beta=121.53 gamma=87.25
Element x y z (fractional)
1 Ce 0.2349 0.2349 0.0000
2 Ce 0.2480 0.2857 0.5337
3 Ce 0.2480 0.7143 0.9624
4 Ce 0.7520 0.2857 0.0376
5 Ce 0.7520 0.7143 0.4663
6 Ce 0.7651 0.7651 0.0000
7 H 0.0000 0.0000 0.0000
8 Pb 0.2635 0.7635 0.5000
9 Pb 0.7365 0.2365 0.5000



Ce4H2Pb3: relaxed, GGA-PBE.

Properties
Its crystal system is monoclinic. For the theoretical density, the calculation gives 8793 kg/m³.

Unit cell a=6.3668 b=6.3668 c=8.9935 alpha=114.08 beta=114.08 gamma=43.04
Element x y z (fractional)
1 Ce 0.1171 0.1171 0.3986
2 Ce 0.2960 0.2960 0.8911
3 Ce 0.7040 0.7040 0.1089
4 Ce 0.8829 0.8829 0.6014
5 H 0.3143 0.3143 0.6341
6 H 0.6857 0.6857 0.3659
7 Pb 0.0000 0.0000 0.0000
8 Pb 0.3854 0.3854 0.3236
9 Pb 0.6146 0.6146 0.6764



Ce5H2Pb2: relaxed, GGA-PBE.

Properties
Its crystal system is monoclinic. For the theoretical density, the calculation gives 8745 kg/m³.

Unit cell a=6.0178 b=6.0178 c=8.5440 alpha=92.96 beta=92.96 gamma=43.36
Element x y z (fractional)
1 Ce 0.0000 0.0000 0.0000
2 Ce 0.1183 0.1183 0.4451
3 Ce 0.2904 0.2904 0.8554
4 Ce 0.7096 0.7096 0.1446
5 Ce 0.8817 0.8817 0.5549
6 H 0.1556 0.1556 0.1815
7 H 0.8444 0.8444 0.8185
8 Pb 0.4197 0.4197 0.2701
9 Pb 0.5803 0.5803 0.7299



Ce7H2Pb3: relaxed, GGA-PBE.

Properties
Its crystal system is monoclinic. For the theoretical density, the calculation gives 9069 kg/m³.

Unit cell a=4.8603 b=4.5987 c=13.2985 alpha=90.00 beta=98.77 gamma=90.00
Element x y z (fractional)
1 Ce 0.0000 0.0000 0.0000
2 Ce 0.0802 0.5000 0.1898
3 Ce 0.3345 0.5000 0.5779
4 Ce 0.4187 0.0000 0.8105
5 Ce 0.5813 0.0000 0.1895
6 Ce 0.6655 0.5000 0.4221
7 Ce 0.9198 0.5000 0.8102
8 H 0.3927 0.5000 0.7563
9 H 0.6073 0.5000 0.2437
10 Pb 0.1566 0.0000 0.3781
11 Pb 0.5000 0.5000 0.0000
12 Pb 0.8434 0.0000 0.6219



Ce2HPb: relaxed, GGA-PBE.

Properties
Its crystal system is tetragonal. For the theoretical density, the calculation gives 9469 kg/m³.

Unit cell a=3.3387 b=3.3387 c=7.6845 alpha=90.00 beta=90.00 gamma=90.00
Element x y z (fractional)
1 Ce 0.0000 0.0000 0.1764
2 Ce 0.0000 0.0000 0.8236
3 H 0.5000 0.5000 0.0000
4 Pb 0.5000 0.5000 0.5000



Ce3HPb2: relaxed, GGA-PBE.

Properties
Its crystal system is monoclinic. For the theoretical density, the calculation gives 9454 kg/m³.

Unit cell a=7.7797 b=7.7797 c=7.0630 alpha=100.97 beta=100.97 gamma=44.57
Element x y z (fractional)
1 Ce 0.0690 0.9310 0.7500
2 Ce 0.3625 0.4631 0.8939
3 Ce 0.4631 0.3625 0.3939
4 Ce 0.5369 0.6375 0.6061
5 Ce 0.6375 0.5369 0.1061
6 Ce 0.9310 0.0690 0.2500
7 H 0.3239 0.6761 0.2500
8 H 0.6761 0.3239 0.7500
9 Pb 0.1763 0.2339 0.5693
10 Pb 0.2339 0.1763 0.0693
11 Pb 0.7661 0.8237 0.9307
12 Pb 0.8237 0.7661 0.4307



Ce2HPb: relaxed, GGA-PBE.

Properties
Its crystal system is orthorhombic. For the theoretical density, the calculation gives 9053 kg/m³.

Unit cell a=4.7715 b=16.9211 c=4.4386 alpha=90.00 beta=90.00 gamma=90.00
Element x y z (fractional)
1 Ce 0.0000 0.0000 0.0000
2 Ce 0.0000 0.1938 0.5000
3 Ce 0.0000 0.5000 0.5000
4 Ce 0.0000 0.8062 0.5000
5 Ce 0.5000 0.0000 0.5000
6 Ce 0.5000 0.3062 0.5000
7 Ce 0.5000 0.5000 0.0000
8 Ce 0.5000 0.6938 0.5000
9 H 0.0000 0.0579 0.5000
10 H 0.0000 0.9421 0.5000
11 H 0.5000 0.4421 0.5000
12 H 0.5000 0.5579 0.5000
13 Pb 0.0000 0.3527 0.0000
14 Pb 0.0000 0.6473 0.0000
15 Pb 0.5000 0.1473 0.0000
16 Pb 0.5000 0.8527 0.0000



Calculated total energy in order - -5.3044; -5.4630; -5.0395; -5.2067; -5.3048; -4.8792; -4.9811; -5.1293 eV/atom